Er2CoCu: relaxed, PBE.

Cell: 5.5196 4.0475 7.6640 Å, 90.00 110.88 90.00°
Fractional coordinates of all 8 atoms:
1 Er 0.2140 0.2500 0.4380
2 Er 0.2230 0.2500 0.9212
3 Er 0.7770 0.7500 0.0788
4 Er 0.7860 0.7500 0.5620
5 Co 0.3599 0.7500 0.7177
6 Co 0.6401 0.2500 0.2823
7 Cu 0.3557 0.7500 0.2131
8 Cu 0.6443 0.2500 0.7869

Computed properties:
The calculation puts the formation energy at -0.263 eV/atom. The total energy is -5.345 eV per atom.

=====

ScCd2: relaxed, PBE.

Cell: 6.2905 6.2905 6.4463 Å, 108.89 108.89 33.99°
Fractional coordinates of all 6 atoms:
1 Sc 0.1686 0.1686 0.0930
2 Sc 0.8314 0.8314 0.9070
3 Cd 0.1595 0.1595 0.5833
4 Cd 0.4941 0.4941 0.2420
5 Cd 0.5059 0.5059 0.7580
6 Cd 0.8405 0.8405 0.4167

Computed properties:
The calculation puts the formation energy at -0.173 eV/atom. The total energy is -2.894 eV per atom.

=====

Ac12In3Os5: relaxed, PBE.

Cell: 15.9211 15.9211 15.9211 Å, 109.47 109.47 109.47°
Fractional coordinates of all 80 atoms:
1 Ac 0.0260 0.2049 0.1201
2 Ac 0.0260 0.3210 0.9058
3 Ac 0.0848 0.7049 0.6790
4 Ac 0.0848 0.8799 0.4058
5 Ac 0.0942 0.6201 0.4152
6 Ac 0.0942 0.9740 0.6790
7 Ac 0.1201 0.0260 0.2049
8 Ac 0.1201 0.5942 0.9152
9 Ac 0.1790 0.2049 0.5848
10 Ac 0.1790 0.4740 0.5942
11 Ac 0.2049 0.1201 0.0260
12 Ac 0.2049 0.5848 0.1790
13 Ac 0.2951 0.3210 0.9152
14 Ac 0.2951 0.4740 0.3799
15 Ac 0.3210 0.9058 0.0260
16 Ac 0.3210 0.9152 0.2951
17 Ac 0.3799 0.2951 0.4740
18 Ac 0.3799 0.5848 0.9058
19 Ac 0.4058 0.0848 0.8799
20 Ac 0.4058 0.8210 0.5260
21 Ac 0.4152 0.0942 0.6201
22 Ac 0.4152 0.8210 0.7951
23 Ac 0.4740 0.3799 0.2951
24 Ac 0.4740 0.5942 0.1790
25 Ac 0.5260 0.4058 0.8210
26 Ac 0.5260 0.6201 0.7049
27 Ac 0.5848 0.1790 0.2049
28 Ac 0.5848 0.9058 0.3799
29 Ac 0.5942 0.1790 0.4740
30 Ac 0.5942 0.9152 0.1201
31 Ac 0.6201 0.4152 0.0942
32 Ac 0.6201 0.7049 0.5260
33 Ac 0.6790 0.0848 0.7049
34 Ac 0.6790 0.0942 0.9740
35 Ac 0.7049 0.5260 0.6201
36 Ac 0.7049 0.6790 0.0848
37 Ac 0.7951 0.4152 0.8210
38 Ac 0.7951 0.8799 0.9740
39 Ac 0.8210 0.5260 0.4058
40 Ac 0.8210 0.7951 0.4152
41 Ac 0.8799 0.4058 0.0848
42 Ac 0.8799 0.9740 0.7951
43 Ac 0.9058 0.0260 0.3210
44 Ac 0.9058 0.3799 0.5848
45 Ac 0.9152 0.1201 0.5942
46 Ac 0.9152 0.2951 0.3210
47 Ac 0.9740 0.6790 0.0942
48 Ac 0.9740 0.7951 0.8799
49 In 0.1250 0.2500 0.3750
50 In 0.1250 0.3750 0.7500
51 In 0.2500 0.3750 0.1250
52 In 0.2500 0.8750 0.6250
53 In 0.3750 0.1250 0.2500
54 In 0.3750 0.7500 0.1250
55 In 0.6250 0.2500 0.8750
56 In 0.6250 0.8750 0.7500
57 In 0.7500 0.1250 0.3750
58 In 0.7500 0.6250 0.8750
59 In 0.8750 0.6250 0.2500
60 In 0.8750 0.7500 0.6250
61 Os 0.0000 0.0000 0.0000
62 Os 0.0000 0.0000 0.5000
63 Os 0.0000 0.5000 0.0000
64 Os 0.0000 0.5000 0.5000
65 Os 0.1250 0.7500 0.8750
66 Os 0.1250 0.8750 0.2500
67 Os 0.2500 0.1250 0.8750
68 Os 0.2500 0.6250 0.3750
69 Os 0.3750 0.2500 0.6250
70 Os 0.3750 0.6250 0.7500
71 Os 0.5000 0.0000 0.0000
72 Os 0.5000 0.0000 0.5000
73 Os 0.5000 0.5000 0.0000
74 Os 0.5000 0.5000 0.5000
75 Os 0.6250 0.3750 0.2500
76 Os 0.6250 0.7500 0.3750
77 Os 0.7500 0.3750 0.6250
78 Os 0.7500 0.8750 0.1250
79 Os 0.8750 0.1250 0.7500
80 Os 0.8750 0.2500 0.1250

Computed properties:
The calculation puts the formation energy at 0.093 eV/atom. The total energy is -5.591 eV per atom.

=====

Al2V2Ge: relaxed, PBE.

Cell: 6.5444 6.5444 3.4946 Å, 90.00 90.00 90.00°
Fractional coordinates of all 10 atoms:
1 Al 0.1308 0.3692 0.0000
2 Al 0.3692 0.8692 0.0000
3 Al 0.6308 0.1308 0.0000
4 Al 0.8692 0.6308 0.0000
5 V 0.1712 0.6712 0.5000
6 V 0.3288 0.1712 0.5000
7 V 0.6712 0.8288 0.5000
8 V 0.8288 0.3288 0.5000
9 Ge 0.0000 0.0000 0.0000
10 Ge 0.5000 0.5000 0.0000

Computed properties:
The calculation puts the formation energy at 0.131 eV/atom. The total energy is -5.937 eV per atom. As for the relative energy among the computed polymorphs: 274.3 meV per atom.

=====

What is the formula in the third record? Ac12In3Os5

=====

Number 4 is which compound? Al2V2Ge

=====

Repeat the first record exactly.
Er2CoCu: relaxed, PBE.

Cell: 5.5196 4.0475 7.6640 Å, 90.00 110.88 90.00°
Fractional coordinates of all 8 atoms:
1 Er 0.2140 0.2500 0.4380
2 Er 0.2230 0.2500 0.9212
3 Er 0.7770 0.7500 0.0788
4 Er 0.7860 0.7500 0.5620
5 Co 0.3599 0.7500 0.7177
6 Co 0.6401 0.2500 0.2823
7 Cu 0.3557 0.7500 0.2131
8 Cu 0.6443 0.2500 0.7869

Computed properties:
The calculation puts the formation energy at -0.263 eV/atom. The total energy is -5.345 eV per atom.